[1]
A relaxed Mg5Hg crystal. Source: Alexandria, functional PBE.

Unit cell a=3.300 b=3.300 c=12.516 alpha=90.00 beta=90.00 gamma=90.00
Fractional coordinates of all 6 atoms:
Mg: 0.000 0.000 0.000
Mg: 0.000 0.000 0.348
Mg: 0.000 0.000 0.652
Mg: 0.500 0.500 0.174
Mg: 0.500 0.500 0.826
Hg: 0.500 0.500 0.500

Values from the calculation:
**Volume**: 22.71 A^3/atom
**Total moment**: 0.000 Bohr magnetons per cell
**Calculated density**: 3.925 g/cm3
**Offset from the most stable computed form**: 0.0295 eV per atom

=====

[2]
A relaxed Mg5Hg crystal. Source: Alexandria, functional PBE.

Unit cell a=5.821 b=5.821 c=5.188 alpha=90.00 beta=90.00 gamma=120.00
Fractional coordinates of all 6 atoms:
Mg: 0.000 0.500 0.000
Mg: 0.333 0.667 0.500
Mg: 0.500 0.000 0.000
Mg: 0.500 0.500 0.000
Mg: 0.667 0.333 0.500
Hg: 0.000 0.000 0.500

Values from the calculation:
**Volume**: 25.37 A^3/atom
**Total moment**: 0.000 Bohr magnetons per cell
**Calculated density**: 3.513 g/cm3
**Offset from the most stable computed form**: 0.2336 eV per atom